(a)
# NaCdSb2I | the Alexandria database | PBE | optimized geometry
data_NaCdSb2I
_chemical_formula_sum 'Na1 Cd1 Sb2 I1'
_cell_length_a 5.540
_cell_length_b 5.540
_cell_length_c 6.583
_cell_angle_alpha 90.00
_cell_angle_beta 90.00
_cell_angle_gamma 90.00
_space_group_name_H-M_alt 'P 4/m m m'
_space_group_IT_number 123
_space_group_name_Hall '-P 4 2'
loop_
_atom_site_label
_atom_site_fract_x
_atom_site_fract_y
_atom_site_fract_z
Na1 0.000 0.000 0.000
Cd1 0.500 0.500 0.500
Sb1 0.000 0.500 0.500
I1 0.500 0.500 0.000
# Density: 4.157 g cm⁻³

(b)
# NaCdSb2I | the Alexandria database | PBE | optimized geometry
data_NaCdSb2I
_chemical_formula_sum 'Na1 Cd1 Sb2 I1'
_cell_length_a 5.612
_cell_length_b 5.612
_cell_length_c 5.715
_cell_angle_alpha 90.00
_cell_angle_beta 90.00
_cell_angle_gamma 90.00
_space_group_name_H-M_alt 'P 4/m m m'
_space_group_IT_number 123
_space_group_name_Hall '-P 4 2'
loop_
_atom_site_label
_atom_site_fract_x
_atom_site_fract_y
_atom_site_fract_z
Na1 0.000 0.000 0.000
Cd1 0.500 0.500 0.500
Sb1 0.000 0.500 0.000
I1 0.000 0.000 0.500
# Density: 4.667 g cm⁻³

Name the most stable of them. (a).

(a)
# NaCdSbI2 | the Alexandria database | PBE | optimized geometry
data_NaCdSbI2
_chemical_formula_sum 'Na1 Cd1 Sb1 I2'
_cell_length_a 6.226
_cell_length_b 6.226
_cell_length_c 5.593
_cell_angle_alpha 90.00
_cell_angle_beta 90.00
_cell_angle_gamma 90.00
_space_group_name_H-M_alt 'P 4/m m m'
_space_group_IT_number 123
_space_group_name_Hall '-P 4 2'
loop_
_atom_site_label
_atom_site_fract_x
_atom_site_fract_y
_atom_site_fract_z
Na1 0.000 0.000 0.000
Cd1 0.500 0.500 0.500
Sb1 0.500 0.500 0.000
I1 0.000 0.500 0.500
# Density: 3.913 g cm⁻³

(b)
# NaCdSbI2 | the Alexandria database | PBE | optimized geometry
data_NaCdSbI2
_chemical_formula_sum 'Na1 Cd1 Sb1 I2'
_cell_length_a 5.812
_cell_length_b 5.812
_cell_length_c 6.189
_cell_angle_alpha 90.00
_cell_angle_beta 90.00
_cell_angle_gamma 90.00
_space_group_name_H-M_alt 'P 4/m m m'
_space_group_IT_number 123
_space_group_name_Hall '-P 4 2'
loop_
_atom_site_label
_atom_site_fract_x
_atom_site_fract_y
_atom_site_fract_z
Na1 0.000 0.000 0.000
Cd1 0.500 0.500 0.500
Sb1 0.000 0.000 0.500
I1 0.000 0.500 0.000
# Density: 4.058 g cm⁻³

Name the most stable of them. (a).

(a)
# NaCdTe2I | the Alexandria database | PBE | optimized geometry
data_NaCdTe2I
_chemical_formula_sum 'Na1 Cd1 Te2 I1'
_cell_length_a 5.659
_cell_length_b 5.659
_cell_length_c 5.748
_cell_angle_alpha 90.00
_cell_angle_beta 90.00
_cell_angle_gamma 90.00
_space_group_name_H-M_alt 'P 4/m m m'
_space_group_IT_number 123
_space_group_name_Hall '-P 4 2'
loop_
_atom_site_label
_atom_site_fract_x
_atom_site_fract_y
_atom_site_fract_z
Na1 0.000 0.000 0.000
Cd1 0.500 0.500 0.500
Te1 0.000 0.500 0.000
I1 0.000 0.000 0.500
# Density: 4.668 g cm⁻³

(b)
# NaCdTe2I | the Alexandria database | PBE | optimized geometry
data_NaCdTe2I
_chemical_formula_sum 'Na1 Cd1 Te2 I1'
_cell_length_a 5.604
_cell_length_b 5.604
_cell_length_c 6.346
_cell_angle_alpha 90.00
_cell_angle_beta 90.00
_cell_angle_gamma 90.00
_space_group_name_H-M_alt 'P 4/m m m'
_space_group_IT_number 123
_space_group_name_Hall '-P 4 2'
loop_
_atom_site_label
_atom_site_fract_x
_atom_site_fract_y
_atom_site_fract_z
Na1 0.000 0.000 0.000
Cd1 0.500 0.500 0.500
Te1 0.000 0.500 0.500
I1 0.500 0.500 0.000
# Density: 4.311 g cm⁻³

Name the most stable of them. (b).

(a)
# NbCdI | the Alexandria database | PBE | optimized geometry
data_NbCdI
_chemical_formula_sum 'Nb4 Cd4 I4'
_cell_length_a 12.359
_cell_length_b 3.453
_cell_length_c 7.523
_cell_angle_alpha 90.00
_cell_angle_beta 94.89
_cell_angle_gamma 90.00
_space_group_name_H-M_alt 'C 1 m 1'
_space_group_IT_number 8
_space_group_name_Hall 'C -2y'
loop_
_atom_site_label
_atom_site_fract_x
_atom_site_fract_y
_atom_site_fract_z
Nb1 0.000 0.000 0.000
Nb2 0.166 0.500 0.961
Cd1 0.079 0.500 0.320
Cd2 0.085 0.000 0.637
I1 0.328 0.500 0.254
I2 0.346 0.000 0.785
# Density: 6.899 g cm⁻³

(b)
# NbCdI | the Alexandria database | PBE | optimized geometry
data_NbCdI
_chemical_formula_sum 'Nb1 Cd1 I1'
_cell_length_a 3.4776
_cell_length_b 3.4776
_cell_length_c 7.4953
_cell_angle_alpha 90.00
_cell_angle_beta 90.00
_cell_angle_gamma 120.00
_space_group_name_H-M_alt 'P 3 m 1'
_space_group_IT_number 156
_space_group_name_Hall 'P 3 -2"'
loop_
_atom_site_label
_atom_site_fract_x
_atom_site_fract_y
_atom_site_fract_z
Nb1 0.0000 0.0000 0.0000
Cd1 0.3333 0.6667 0.2905
I1 0.3333 0.6667 0.7463
# Density: 7.028 g cm⁻³

(c)
# NbCdI | the Alexandria database | PBE | optimized geometry
data_NbCdI
_chemical_formula_sum 'Nb2 Cd2 I2'
_cell_length_a 6.392
_cell_length_b 3.523
_cell_length_c 7.227
_cell_angle_alpha 90.00
_cell_angle_beta 98.49
_cell_angle_gamma 90.00
_space_group_name_H-M_alt 'P 1 m 1'
_space_group_IT_number 6
_space_group_name_Hall 'P -2y'
loop_
_atom_site_label
_atom_site_fract_x
_atom_site_fract_y
_atom_site_fract_z
Nb1 0.000 0.000 0.000
Nb2 0.329 0.500 0.033
Cd1 0.543 0.000 0.776
Cd2 0.946 0.500 0.676
I1 0.304 0.000 0.341
I2 0.781 0.500 0.225
# Density: 6.856 g cm⁻³

Name the most stable of them. (a).

(a)
# Nb2Cd2I | the Alexandria database | PBE | optimized geometry
data_Nb2Cd2I
_chemical_formula_sum 'Nb4 Cd4 I2'
_cell_length_a 3.960
_cell_length_b 3.960
_cell_length_c 14.422
_cell_angle_alpha 90.00
_cell_angle_beta 90.00
_cell_angle_gamma 90.00
_space_group_name_H-M_alt 'I 4/m m m'
_space_group_IT_number 139
_space_group_name_Hall '-I 4 2'
loop_
_atom_site_label
_atom_site_fract_x
_atom_site_fract_y
_atom_site_fract_z
Nb1 0.000 0.000 0.088
Cd1 0.000 0.500 0.250
I1 0.000 0.000 0.500
# Density: 7.894 g cm⁻³

(b)
# Nb2Cd2I | the Alexandria database | PBE | optimized geometry
data_Nb2Cd2I
_chemical_formula_sum 'Nb4 Cd4 I2'
_cell_length_a 7.338
_cell_length_b 7.338
_cell_length_c 4.252
_cell_angle_alpha 90.00
_cell_angle_beta 90.00
_cell_angle_gamma 90.00
_space_group_name_H-M_alt 'P 4/m b m'
_space_group_IT_number 127
_space_group_name_Hall '-P 4 2ab'
loop_
_atom_site_label
_atom_site_fract_x
_atom_site_fract_y
_atom_site_fract_z
Nb1 0.123 0.377 0.000
Cd1 0.167 0.667 0.500
I1 0.000 0.000 0.000
# Density: 7.797 g cm⁻³

Name the most stable of them. (b).

(a)
# Nb2CdI | the Alexandria database | PBE | optimized geometry
data_Nb2CdI
_chemical_formula_sum 'Nb8 Cd4 I4'
_cell_length_a 6.838
_cell_length_b 6.838
_cell_length_c 6.838
_cell_angle_alpha 90.00
_cell_angle_beta 90.00
_cell_angle_gamma 90.00
_space_group_name_H-M_alt 'F m -3 m'
_space_group_IT_number 225
_space_group_name_Hall '-F 4 2 3'
loop_
_atom_site_label
_atom_site_fract_x
_atom_site_fract_y
_atom_site_fract_z
Nb1 0.250 0.250 0.250
Cd1 0.000 0.000 0.000
I1 0.000 0.000 0.500
# Density: 8.830 g cm⁻³

(b)
# Nb2CdI | the Alexandria database | PBE | optimized geometry
data_Nb2CdI
_chemical_formula_sum 'Nb8 Cd4 I4'
_cell_length_a 4.195
_cell_length_b 4.195
_cell_length_c 20.644
_cell_angle_alpha 90.00
_cell_angle_beta 90.00
_cell_angle_gamma 90.00
_space_group_name_H-M_alt 'I -4 2 d'
_space_group_IT_number 122
_space_group_name_Hall 'I -4 2bw'
loop_
_atom_site_label
_atom_site_fract_x
_atom_site_fract_y
_atom_site_fract_z
Nb1 0.235 0.250 0.125
Cd1 0.000 0.000 0.000
I1 0.000 0.000 0.500
# Density: 7.772 g cm⁻³

Name the most stable of them. (a).

(a)
# NbCdI2 | the Alexandria database | PBE | optimized geometry
data_NbCdI2
_chemical_formula_sum 'Nb4 Cd4 I8'
_cell_length_a 7.328
_cell_length_b 7.328
_cell_length_c 7.328
_cell_angle_alpha 90.00
_cell_angle_beta 90.00
_cell_angle_gamma 90.00
_space_group_name_H-M_alt 'F m -3 m'
_space_group_IT_number 225
_space_group_name_Hall '-F 4 2 3'
loop_
_atom_site_label
_atom_site_fract_x
_atom_site_fract_y
_atom_site_fract_z
Nb1 0.000 0.000 0.000
Cd1 0.000 0.000 0.500
I1 0.250 0.250 0.250
# Density: 7.750 g cm⁻³

(b)
# NbCdI2 | the Alexandria database | PBE | optimized geometry
data_NbCdI2
_chemical_formula_sum 'Nb4 Cd4 I8'
_cell_length_a 10.036
_cell_length_b 10.036
_cell_length_c 5.899
_cell_angle_alpha 90.00
_cell_angle_beta 90.00
_cell_angle_gamma 90.00
_space_group_name_H-M_alt 'I -4 2 d'
_space_group_IT_number 122
_space_group_name_Hall 'I -4 2bw'
loop_
_atom_site_label
_atom_site_fract_x
_atom_site_fract_y
_atom_site_fract_z
Nb1 0.000 0.000 0.000
Cd1 0.000 0.000 0.500
I1 0.110 0.750 0.125
# Density: 5.132 g cm⁻³

Name the most stable of them. (b).

(a)
# NbCdIO2 | the Alexandria database | PBE | optimized geometry
data_NbCdIO2
_chemical_formula_sum 'Nb1 Cd1 I1 O2'
_cell_length_a 4.247
_cell_length_b 4.247
_cell_length_c 5.798
_cell_angle_alpha 90.00
_cell_angle_beta 90.00
_cell_angle_gamma 90.00
_space_group_name_H-M_alt 'P 4/m m m'
_space_group_IT_number 123
_space_group_name_Hall '-P 4 2'
loop_
_atom_site_label
_atom_site_fract_x
_atom_site_fract_y
_atom_site_fract_z
Nb1 0.000 0.000 0.000
Cd1 0.500 0.500 0.500
I1 0.500 0.500 0.000
O1 0.000 0.500 0.500
# Density: 5.783 g cm⁻³

(b)
# NbCdIO2 | the Alexandria database | PBE | optimized geometry
data_NbCdIO2
_chemical_formula_sum 'Nb1 Cd1 I1 O2'
_cell_length_a 4.092
_cell_length_b 4.092
_cell_length_c 6.046
_cell_angle_alpha 90.00
_cell_angle_beta 90.00
_cell_angle_gamma 90.00
_space_group_name_H-M_alt 'P 4/m m m'
_space_group_IT_number 123
_space_group_name_Hall '-P 4 2'
loop_
_atom_site_label
_atom_site_fract_x
_atom_site_fract_y
_atom_site_fract_z
Nb1 0.000 0.000 0.000
Cd1 0.500 0.500 0.500
I1 0.000 0.000 0.500
O1 0.000 0.500 0.000
# Density: 5.973 g cm⁻³

Name the most stable of them. (b).

(a)
# NbCdI2O | the Alexandria database | PBE | optimized geometry
data_NbCdI2O
_chemical_formula_sum 'Nb1 Cd1 I2 O1'
_cell_length_a 5.876
_cell_length_b 5.876
_cell_length_c 3.941
_cell_angle_alpha 90.00
_cell_angle_beta 90.00
_cell_angle_gamma 90.00
_space_group_name_H-M_alt 'P 4/m m m'
_space_group_IT_number 123
_space_group_name_Hall '-P 4 2'
loop_
_atom_site_label
_atom_site_fract_x
_atom_site_fract_y
_atom_site_fract_z
Nb1 0.000 0.000 0.000
Cd1 0.500 0.500 0.500
I1 0.000 0.500 0.000
O1 0.000 0.000 0.500
# Density: 5.798 g cm⁻³

(b)
# NbCdI2O | the Alexandria database | PBE | optimized geometry
data_NbCdI2O
_chemical_formula_sum 'Nb1 Cd1 I2 O1'
_cell_length_a 5.896
_cell_length_b 5.896
_cell_length_c 4.003
_cell_angle_alpha 90.00
_cell_angle_beta 90.00
_cell_angle_gamma 90.00
_space_group_name_H-M_alt 'P 4/m m m'
_space_group_IT_number 123
_space_group_name_Hall '-P 4 2'
loop_
_atom_site_label
_atom_site_fract_x
_atom_site_fract_y
_atom_site_fract_z
Nb1 0.000 0.000 0.000
Cd1 0.500 0.500 0.500
I1 0.000 0.500 0.500
O1 0.500 0.500 0.000
# Density: 5.670 g cm⁻³

Name the most stable of them. (a).

(a)
# NbCdSbI2 | the Alexandria database | PBE | optimized geometry
data_NbCdSbI2
_chemical_formula_sum 'Nb1 Cd1 Sb1 I2'
_cell_length_a 5.609
_cell_length_b 5.609
_cell_length_c 5.490
_cell_angle_alpha 90.00
_cell_angle_beta 90.00
_cell_angle_gamma 90.00
_space_group_name_H-M_alt 'P 4/m m m'
_space_group_IT_number 123
_space_group_name_Hall '-P 4 2'
loop_
_atom_site_label
_atom_site_fract_x
_atom_site_fract_y
_atom_site_fract_z
Nb1 0.000 0.000 0.000
Cd1 0.500 0.500 0.500
Sb1 0.000 0.000 0.500
I1 0.000 0.500 0.000
# Density: 5.585 g cm⁻³

(b)
# NbCdSbI2 | the Alexandria database | PBE | optimized geometry
data_NbCdSbI2
_chemical_formula_sum 'Nb1 Cd1 Sb1 I2'
_cell_length_a 5.725
_cell_length_b 5.725
_cell_length_c 5.588
_cell_angle_alpha 90.00
_cell_angle_beta 90.00
_cell_angle_gamma 90.00
_space_group_name_H-M_alt 'P 4/m m m'
_space_group_IT_number 123
_space_group_name_Hall '-P 4 2'
loop_
_atom_site_label
_atom_site_fract_x
_atom_site_fract_y
_atom_site_fract_z
Nb1 0.000 0.000 0.000
Cd1 0.500 0.500 0.500
Sb1 0.500 0.500 0.000
I1 0.000 0.500 0.500
# Density: 5.267 g cm⁻³

Name the most stable of them. (a).

(a)
# NbCdSb2I | the Alexandria database | PBE | optimized geometry
data_NbCdSb2I
_chemical_formula_sum 'Nb1 Cd1 Sb2 I1'
_cell_length_a 5.361
_cell_length_b 5.361
_cell_length_c 5.828
_cell_angle_alpha 90.00
_cell_angle_beta 90.00
_cell_angle_gamma 90.00
_space_group_name_H-M_alt 'P 4/m m m'
_space_group_IT_number 123
_space_group_name_Hall '-P 4 2'
loop_
_atom_site_label
_atom_site_fract_x
_atom_site_fract_y
_atom_site_fract_z
Nb1 0.000 0.000 0.000
Cd1 0.500 0.500 0.500
Sb1 0.000 0.500 0.000
I1 0.000 0.000 0.500
# Density: 5.708 g cm⁻³

(b)
# NbCdSb2I | the Alexandria database | PBE | optimized geometry
data_NbCdSb2I
_chemical_formula_sum 'Nb1 Cd1 Sb2 I1'
_cell_length_a 5.391
_cell_length_b 5.391
_cell_length_c 5.856
_cell_angle_alpha 90.00
_cell_angle_beta 90.00
_cell_angle_gamma 90.00
_space_group_name_H-M_alt 'P 4/m m m'
_space_group_IT_number 123
_space_group_name_Hall '-P 4 2'
loop_
_atom_site_label
_atom_site_fract_x
_atom_site_fract_y
_atom_site_fract_z
Nb1 0.000 0.000 0.000
Cd1 0.500 0.500 0.500
Sb1 0.000 0.500 0.500
I1 0.500 0.500 0.000
# Density: 5.618 g cm⁻³

Name the most stable of them. (a).

(a)
# CdNiI3 | the Alexandria database | PBE | optimized geometry
data_CdNiI3
_chemical_formula_sum 'Cd1 Ni1 I3'
_cell_length_a 5.877
_cell_length_b 5.877
_cell_length_c 5.877
_cell_angle_alpha 90.00
_cell_angle_beta 90.00
_cell_angle_gamma 90.00
_space_group_name_H-M_alt 'P m -3 m'
_space_group_IT_number 221
_space_group_name_Hall '-P 4 2 3'
loop_
_atom_site_label
_atom_site_fract_x
_atom_site_fract_y
_atom_site_fract_z
Cd1 0.000 0.000 0.000
Ni1 0.500 0.500 0.500
I1 0.000 0.000 0.500
# Density: 4.514 g cm⁻³

(b)
# CdNiI3 | the Alexandria database | PBE | optimized geometry
data_CdNiI3
_chemical_formula_sum 'Cd1 Ni1 I3'
_cell_length_a 5.349
_cell_length_b 5.349
_cell_length_c 5.349
_cell_angle_alpha 90.00
_cell_angle_beta 90.00
_cell_angle_gamma 90.00
_space_group_name_H-M_alt 'P m -3 m'
_space_group_IT_number 221
_space_group_name_Hall '-P 4 2 3'
loop_
_atom_site_label
_atom_site_fract_x
_atom_site_fract_y
_atom_site_fract_z
Cd1 0.000 0.000 0.000
Ni1 0.500 0.500 0.500
I1 0.000 0.500 0.500
# Density: 5.988 g cm⁻³

Name the most stable of them. (b).

(a)
# CdNiI2 | the Alexandria database | PBE | optimized geometry
data_CdNiI2
_chemical_formula_sum 'Cd4 Ni4 I8'
_cell_length_a 6.504
_cell_length_b 6.504
_cell_length_c 12.069
_cell_angle_alpha 90.00
_cell_angle_beta 90.00
_cell_angle_gamma 90.00
_space_group_name_H-M_alt 'I -4 2 d'
_space_group_IT_number 122
_space_group_name_Hall 'I -4 2bw'
loop_
_atom_site_label
_atom_site_fract_x
_atom_site_fract_y
_atom_site_fract_z
Cd1 0.000 0.000 0.000
Ni1 0.000 0.000 0.500
I1 0.189 0.250 0.625
# Density: 5.528 g cm⁻³

(b)
# CdNiI2 | the Alexandria database | PBE | optimized geometry
data_CdNiI2
_chemical_formula_sum 'Cd3 Ni3 I6'
_cell_length_a 3.9186
_cell_length_b 3.9186
_cell_length_c 31.2237
_cell_angle_alpha 90.00
_cell_angle_beta 90.00
_cell_angle_gamma 120.00
_space_group_name_H-M_alt 'R -3 m'
_space_group_IT_number 166
_space_group_name_Hall '-R 3 2"'
loop_
_atom_site_label
_atom_site_fract_x
_atom_site_fract_y
_atom_site_fract_z
Cd1 0.0000 0.0000 0.0000
Ni1 0.0000 0.0000 0.5000
I1 0.0000 0.0000 0.1180
# Density: 5.098 g cm⁻³

Name the most stable of them. (a).